Entry 1:
## LaNiMo (PBE-GGA)

Data for an optimized crystal structure of LaNiMo.

## Properties
excess energy over the best structure of this formula in the dataset = 0.0 meV per atom
calculated formation energy = 0.71 eV per formula unit
SG = P-6m2 (187)

Cell and atoms, written as extended XYZ:
```
3
Lattice="-1.293 3.544 1.650 2.037 -2.727 2.317 3.890 1.946 -1.130" Properties=species:S:1:pos:R:3 pbc="T T T"
La 3.890 1.946 -1.130
Mo 1.762 2.426 1.307
Ni 2.872 0.336 1.530
```



Entry 2:
## LaNi2Mo2 (PBE-GGA)

Data for an optimized crystal structure of LaNi2Mo2.

## Properties
excess energy over the best structure of this formula in the dataset = 0.0 meV per atom
calculated formation energy = 0.37 eV per formula unit
SG = I4/mmm (139)

Cell and atoms, written as extended XYZ:
```
5
Lattice="-0.128 2.331 2.955 -3.682 -0.691 0.386 -0.620 -3.910 5.459" Properties=species:S:1:pos:R:3 pbc="T T T"
Ni -1.640 -0.157 2.452
Ni -2.790 -2.114 6.346
Mo -1.327 -0.379 5.042
Mo -3.103 -1.891 3.757
La 0.000 0.000 0.000
```



Entry 3:
## La2NiMo (PBE-GGA)

Data for an optimized crystal structure of La2NiMo.

## Properties
excess energy over the best structure of this formula in the dataset = 0.0 meV per atom
calculated formation energy = 0.47 eV per formula unit
SG = Amm2 (38)

Cell and atoms, written as extended XYZ:
```
4
Lattice="4.293 0.000 0.000 0.000 4.732 -0.010 0.000 2.378 4.935" Properties=species:S:1:pos:R:3 pbc="T T T"
La 0.000 6.813 4.547
La 2.147 2.074 1.539
Mo 0.000 4.440 2.615
Ni 2.147 4.446 3.612
```